An optimized crystal structure of K2HgH6Pd, computed with PBE.

Output
- E_tot (eV/atom) = -2.975

Geometry as POSCAR:
```
K2HgH6Pd
1.0
5.884 -0.001 0.002
-0.001 5.884 0.002
-2.941 -2.941 4.138
H Hg Pd K
6 1 1 2
direct
0.800 0.800 0.999
0.200 0.800 0.000
0.200 0.201 0.000
0.201 0.202 0.402
0.798 0.799 0.597
0.800 0.200 0.000
0.500 0.501 0.000
0.000 0.000 0.000
0.750 0.251 0.500
0.250 0.750 0.500
```